1.
Below is Ni2AgH2 after structural relaxation, with properties calculated at the PBE-GGA level.

Unit cell a=5.0995 b=5.0995 c=5.0995 alpha=144.19 beta=144.19 gamma=51.54
Closest atoms and distances in Å follow each position.
Positions (direct):
Ni: 0.1754 0.1754 0.0000  4 H 1.71
Ni: 0.8246 0.8246 0.0000  4 H 1.71
Ag: 0.5000 0.5000 0.0000  10 Ni 2.74-2.98, 8 H 2.78
H: 0.2500 0.7500 0.5000  4 Ni 1.71
H: 0.7500 0.2500 0.5000  4 Ni 1.71

- Distance to the lowest polymorph of the same formula: 0 meV/atom
- Raw total energy: -4.17 eV per atom

=====

2.
Below is Np2Ni6Ge after structural relaxation, with properties calculated at the PBE-GGA level.

Unit cell a=5.0907 b=5.0907 c=5.8621 alpha=100.39 beta=100.39 gamma=61.47
Closest atoms and distances in Å follow each position.
Positions (direct):
Np: 0.1440 0.1440 0.3448  6 Ni 2.72-2.78
Np: 0.8560 0.8560 0.6552  6 Ni 2.72-2.78
Ni: 0.1100 0.6287 0.1621  6 Ni 2.42-2.70, 1 Ge 2.47
Ni: 0.3713 0.8900 0.8379  6 Ni 2.42-2.70, 1 Ge 2.47
Ni: 0.3740 0.3740 0.8204  1 Ge 2.37, 6 Ni 2.42-2.60
Ni: 0.6260 0.6260 0.1796  1 Ge 2.37, 6 Ni 2.42-2.60
Ni: 0.6287 0.1100 0.1621  6 Ni 2.42-2.70, 1 Ge 2.47
Ni: 0.8900 0.3713 0.8379  6 Ni 2.42-2.70, 1 Ge 2.47
Ge: 0.5000 0.5000 0.5000  6 Ni 2.37-2.47

- Raw total energy: -7.40 eV per atom
- Calculated formation energy: -0.159 eV/atom